A geometry-optimized CsGaSbPb structure. Source: Alexandria, functional GGA-PBE.

Calculated values
Space-group type: P4/nmm, No. 129
Formation energy without anion corrections (meV/atom): -189
ρ (g/cm³): 5.52

Geometry as CIF:
```
data_CsGaSbPb
_chemical_formula_sum 'Cs2 Ga2 Sb2 Pb2'
_cell_length_a 4.6755
_cell_length_b 4.6755
_cell_length_c 14.6206
_cell_angle_alpha 90.00
_cell_angle_beta 90.00
_cell_angle_gamma 90.00
_symmetry_space_group_name_H-M 'P 1'
_symmetry_Int_Tables_number 1
loop_
_symmetry_equiv_pos_as_xyz
'x,y,z'
loop_
_atom_site_label
_atom_site_type_symbol
_atom_site_fract_x
_atom_site_fract_y
_atom_site_fract_z
Cs1 Cs 0.7500 0.7500 0.2542
Cs2 Cs 0.2500 0.2500 0.7458
Ga1 Ga 0.7500 0.2500 0.0000
Ga2 Ga 0.2500 0.7500 0.0000
Sb1 Sb 0.7500 0.7500 0.8940
Sb2 Sb 0.2500 0.2500 0.1060
Pb1 Pb 0.2500 0.7500 0.5000
Pb2 Pb 0.7500 0.2500 0.5000
```